Material: Sr2CrS2
Method: DFT, PBE-GGA
State: optimized geometry

Lattice parameters (Å, degrees): 5.590 5.590 6.915 66.16 66.16 90.00
Each line ends with the local moment (μB).
Element x y z (fractional)
1 Sr 0.310 0.310 0.381  0.02
2 Sr 0.690 0.690 0.619  0.02
3 S 0.750 0.250 0.500  0.04
4 S 0.250 0.750 0.500  0.04
5 Cr 0.000 0.000 0.000  4.47

The value obtained for the energy above the most stable polymorph in this dataset is 408.2 meV per atom. The space-group type is I4/mmm (139). The calculation puts the energy relative to the elements, uncorrected at -0.640 eV per atom.

---

Material: Mg2Ag14Te9
Method: DFT, PBE-GGA
State: optimized geometry

Lattice parameters (Å, degrees): 8.102 8.272 11.390 90.44 89.30 119.88
Element x y z (fractional)
1 Mg 0.362 0.647 0.260
2 Mg 0.638 0.353 0.740
3 Ag 0.022 0.668 0.945
4 Ag 0.270 0.022 0.577
5 Ag 0.934 0.331 0.571
6 Ag 0.023 0.955 0.258
7 Ag 0.977 0.045 0.742
8 Ag 0.291 0.333 0.891
9 Ag 0.665 0.009 0.918
10 Ag 0.307 0.289 0.388
11 Ag 0.693 0.711 0.612
12 Ag 0.335 0.991 0.082
13 Ag 0.709 0.667 0.109
14 Ag 0.066 0.669 0.429
15 Ag 0.730 0.978 0.423
16 Ag 0.978 0.332 0.055
17 Te 0.386 0.993 0.332
18 Te 0.999 0.324 0.312
19 Te 0.360 0.664 0.012
20 Te 0.000 0.000 0.000
21 Te 0.318 0.372 0.646
22 Te 0.682 0.628 0.354
23 Te 0.640 0.336 0.988
24 Te 0.001 0.676 0.688
25 Te 0.614 0.007 0.668

The space-group type is P-1 (2). The calculation puts the energy relative to the elements, uncorrected at -0.162 eV per atom.

---

| no. | volume (Å³/atom) |
| --- | --- |
| 1 | 35.5 |
| 2 | 26.5 |